DFT (PBE-GGA) results for a geometry-optimized Sc2ReO structure.

## Properties
Density of states at the Fermi level, states/eV per cell: 3.8
Uncorrected formation energy, eV/atom: -1.001

CIF file:
```
data_Sc2ReO
_cell_length_a 8.108
_cell_length_b 8.108
_cell_length_c 8.108
_cell_angle_alpha 21.07
_cell_angle_beta 21.07
_cell_angle_gamma 21.07
_symmetry_space_group_name_H-M 'P 1'
_symmetry_Int_Tables_number 1
_symmetry_space_group_name_Hall 'P 1'
loop_
_atom_site_label
_atom_site_type_symbol
_atom_site_fract_x
_atom_site_fract_y
_atom_site_fract_z
_atom_site_occupancy
O1 O 0.500 0.500 0.500 1
Sc1 Sc 0.890 0.890 0.890 1
Re1 Re 0.000 0.000 0.000 1
Sc2 Sc 0.110 0.110 0.110 1
```

DFT (PBE-GGA) results for a geometry-optimized PuZn4Rh structure.

## Properties
Density of states at the Fermi level, states/eV per cell: 12.4
Offset from the most stable computed form, eV/atom: 0.0306
E_form, eV/atom: -0.227

CIF file:
```
data_PuZn4Rh
_cell_length_a 5.179
_cell_length_b 5.179
_cell_length_c 5.179
_cell_angle_alpha 60.00
_cell_angle_beta 60.00
_cell_angle_gamma 60.00
_symmetry_space_group_name_H-M 'P 1'
_symmetry_Int_Tables_number 1
_symmetry_space_group_name_Hall 'P 1'
loop_
_atom_site_label
_atom_site_type_symbol
_atom_site_fract_x
_atom_site_fract_y
_atom_site_fract_z
_atom_site_occupancy
Zn1 Zn 0.624 0.624 0.129 1
Zn2 Zn 0.624 0.129 0.624 1
Rh1 Rh 0.250 0.250 0.250 1
Pu1 Pu 0.000 0.000 0.000 1
Zn3 Zn 0.624 0.624 0.624 1
Zn4 Zn 0.129 0.624 0.624 1
```

DFT (PBE-GGA) results for a geometry-optimized CsAgSnSb2 structure.

## Properties
Density of states at the Fermi level, states/eV per cell: 0.2
Uncorrected formation energy, eV/atom: -0.169

CIF file:
```
data_CsAgSnSb2
_cell_length_a 7.184
_cell_length_b 7.350
_cell_length_c 8.505
_cell_angle_alpha 115.60
_cell_angle_beta 90.00
_cell_angle_gamma 90.00
_symmetry_space_group_name_H-M 'P 1'
_symmetry_Int_Tables_number 1
_symmetry_space_group_name_Hall 'P 1'
loop_
_atom_site_label
_atom_site_type_symbol
_atom_site_fract_x
_atom_site_fract_y
_atom_site_fract_z
_atom_site_occupancy
Sb1 Sb 0.293 0.392 0.784 1
Sb2 Sb 0.293 0.108 0.216 1
Cs1 Cs 0.241 0.750 0.500 1
Ag1 Ag 0.000 0.500 0.000 1
Sb3 Sb 0.707 0.892 0.784 1
Cs2 Cs 0.759 0.250 0.500 1
Sn1 Sn 0.500 0.750 0.000 1
Ag2 Ag 0.000 0.000 0.000 1
Sn2 Sn 0.500 0.250 0.000 1
Sb4 Sb 0.707 0.608 0.216 1
```

DFT (PBE-GGA) results for a geometry-optimized Hf2TlZn2 structure.

## Properties
Density of states at the Fermi level, states/eV per cell: 2.7
E_form, eV/atom: -0.042

CIF file:
```
data_Hf2TlZn2
_cell_length_a 7.539
_cell_length_b 7.539
_cell_length_c 3.358
_cell_angle_alpha 90.00
_cell_angle_beta 90.00
_cell_angle_gamma 90.00
_symmetry_space_group_name_H-M 'P 1'
_symmetry_Int_Tables_number 1
_symmetry_space_group_name_Hall 'P 1'
loop_
_atom_site_label
_atom_site_type_symbol
_atom_site_fract_x
_atom_site_fract_y
_atom_site_fract_z
_atom_site_occupancy
Hf1 Hf 0.322 0.178 0.500 1
Zn1 Zn 0.117 0.383 0.000 1
Zn2 Zn 0.617 0.117 0.000 1
Zn3 Zn 0.383 0.883 0.000 1
Hf2 Hf 0.178 0.678 0.500 1
Tl1 Tl 0.500 0.500 0.000 1
Tl2 Tl 0.000 0.000 0.000 1
Zn4 Zn 0.883 0.617 0.000 1
Hf3 Hf 0.678 0.822 0.500 1
Hf4 Hf 0.822 0.322 0.500 1
```

DFT (PBE-GGA) results for a geometry-optimized In2MoPt structure.

## Properties
Density of states at the Fermi level, states/eV per cell: 3.0
Offset from the most stable computed form, eV/atom: 0.2066
E_form, eV/atom: 0.191

CIF file:
```
data_In2MoPt
_cell_length_a 5.620
_cell_length_b 5.620
_cell_length_c 5.620
_cell_angle_alpha 148.61
_cell_angle_beta 124.58
_cell_angle_gamma 65.09
_symmetry_space_group_name_H-M 'P 1'
_symmetry_Int_Tables_number 1
_symmetry_space_group_name_Hall 'P 1'
loop_
_atom_site_label
_atom_site_type_symbol
_atom_site_fract_x
_atom_site_fract_y
_atom_site_fract_z
_atom_site_occupancy
Pt1 Pt 0.750 0.250 0.500 1
In1 In 0.991 0.991 0.000 1
Mo1 Mo 0.250 0.750 0.500 1
In2 In 0.509 0.509 0.000 1
```

DFT (PBE-GGA) results for a geometry-optimized Li2Sm2TmMg5 structure.

## Properties
Density of states at the Fermi level, states/eV per cell: 16.2
E_form, eV/atom: -0.036

CIF file:
```
data_Li2Sm2TmMg5
_cell_length_a 4.470
_cell_length_b 10.574
_cell_length_c 10.574
_cell_angle_alpha 90.00
_cell_angle_beta 90.00
_cell_angle_gamma 90.00
_symmetry_space_group_name_H-M 'P 1'
_symmetry_Int_Tables_number 1
_symmetry_space_group_name_Hall 'P 1'
loop_
_atom_site_label
_atom_site_type_symbol
_atom_site_fract_x
_atom_site_fract_y
_atom_site_fract_z
_atom_site_occupancy
Mg1 Mg 0.500 0.937 0.212 1
Mg2 Mg 0.500 0.212 0.063 1
Sm1 Sm 0.000 0.319 0.819 1
Mg3 Mg 0.500 0.063 0.788 1
Mg4 Mg 0.500 0.000 0.500 1
Li1 Li 0.000 0.886 0.386 1
Li2 Li 0.000 0.386 0.114 1
Tm1 Tm 0.000 0.000 0.000 1
Sm2 Sm 0.000 0.181 0.319 1
Tm2 Tm 0.000 0.500 0.500 1
Li3 Li 0.000 0.114 0.614 1
Li4 Li 0.000 0.614 0.886 1
Mg5 Mg 0.500 0.712 0.437 1
Sm3 Sm 0.000 0.681 0.181 1
Mg6 Mg 0.500 0.288 0.563 1
Mg7 Mg 0.500 0.788 0.937 1
Mg8 Mg 0.500 0.437 0.288 1
Mg9 Mg 0.500 0.563 0.712 1
Sm4 Sm 0.000 0.819 0.681 1
Mg10 Mg 0.500 0.500 0.000 1
```